ErMnCr2O8 | PBE with a Hubbard U | optimized geometry

a b c (Å): 7.0465 7.0465 6.2478
angles (deg): 90.00 90.00 90.00
Last column: nearest neighbours and their distance in Å.
Space group I-4m2 (No. 119)
One atom of each set of equivalent atoms:
Er 0.0000 0.0000 0.0000 (multiplicity 2)  8 O 2.27-2.41
Mn 0.0000 0.5000 0.2500 (multiplicity 2)  8 O 2.24-2.49
Cr 0.0000 0.0000 0.5000 (multiplicity 2)  4 O 1.74
Cr 0.0000 0.5000 0.7500 (multiplicity 2)  4 O 1.66
O 0.0000 0.1892 0.3221 (multiplicity 8)  1 Cr 1.74
O 0.0000 0.3130 0.9118 (multiplicity 8)  1 Cr 1.66

Total magnetization in μB per formula unit: 6.0
Total DFT energy (no corrections) in eV per formula unit: -88.70